No. 1
The following is a PBE calculation of a relaxed NaV3Si crystal, from the Alexandria database.

Unit cell a=4.351 b=4.351 c=4.351 alpha=90.00 beta=90.00 gamma=90.00
Sites, in units of the cell vectors:
Si1 0.500 0.500 0.500
Na1 0.000 0.000 0.000
V1 0.000 0.500 0.000
V2 0.500 0.000 0.000
V3 0.000 0.000 0.500

- Total magnetization: 0.00 μB/cell
- Symmetry: No. 221
- Formation energy without anion corrections: 2.06 eV/atom
- DOS at the Fermi energy: 2.0 states/eV/cell

=====

No. 2
The following is a PBE calculation of a relaxed Rb2AlSbTe4 crystal, from the Alexandria database.

Unit cell a=7.020 b=8.477 c=13.632 alpha=83.88 beta=75.08 gamma=65.54
Sites, in units of the cell vectors:
Te1 0.238 0.204 0.885
Te2 0.328 0.796 0.115
Te3 0.422 0.704 0.385
Te4 0.873 0.704 0.615
Te5 0.512 0.296 0.615
Te6 0.557 0.204 0.115
Te7 0.877 0.796 0.885
Te8 0.193 0.296 0.385
Sb1 0.750 0.500 0.500
Sb2 0.000 0.000 0.000
Rb1 0.184 0.000 0.631
Rb2 0.934 0.500 0.131
Rb3 0.816 0.000 0.369
Rb4 0.566 0.500 0.869
Al1 0.500 0.000 0.000
Al2 0.250 0.500 0.500

- Total magnetization: 0.00 μB/cell
- Symmetry: No. 70
- Formation energy without anion corrections: -0.58 eV/atom

=====

No. 3
The following is a PBE calculation of a relaxed Tl2Bi2PtO6 crystal, from the Alexandria database.

Unit cell a=5.931 b=5.931 c=6.780 alpha=97.63 beta=97.63 gamma=117.33
Sites, in units of the cell vectors:
O1 0.343 0.034 0.656
O2 0.034 0.343 0.656
O3 0.197 0.197 0.292
O4 0.803 0.803 0.708
O5 0.966 0.657 0.344
O6 0.657 0.966 0.344
Tl1 0.169 0.831 0.000
Tl2 0.831 0.169 0.000
Bi1 0.663 0.337 0.500
Bi2 0.337 0.663 0.500
Pt1 0.000 0.000 0.500

- Total magnetization: 0.00 μB/cell
- Symmetry: No. 12
- Formation energy without anion corrections: -0.78 eV/atom
- DOS at the Fermi energy: 0.4 states/eV/cell